First-principles (meta-GGA SCAN) data for Li2Si2WO7 at its PBEsol-relaxed geometry, as listed in Alexandria via LeMat-Bulk.

Summary:
- Space-group type: P-1, No. 2
- Uncorrected formation energy: -30.03 eV per formula unit
- Raw total energy: -336.3 eV for the cell shown

Cell: 5.3285 6.0536 8.5927 Å, 71.56 87.56 85.39°
Last column: nearest neighbours and their distance in Å.
Fractional coordinates of all 24 atoms:
Li1 0.1993 0.0540 0.3527  4 O 1.97-2.19
Li2 0.2815 0.1918 0.9715  4 O 2.04-2.25
Li3 0.7185 0.8082 0.0285  4 O 2.04-2.25
Li4 0.8007 0.9460 0.6473  4 O 1.97-2.19
Si1 0.1972 0.7344 0.8436  4 O 1.61-1.68
Si2 0.2899 0.2059 0.6271  4 O 1.61-1.67
Si3 0.7101 0.7941 0.3729  4 O 1.61-1.67
Si4 0.8028 0.2656 0.1564  4 O 1.61-1.68
W1 0.2607 0.5776 0.2174  6 O 1.96-2.11
W2 0.7393 0.4224 0.7826  6 O 1.96-2.11
O1 0.0766 0.3049 0.7331  1 Si 1.62
O2 0.1009 0.3213 0.1419  1 Si 1.64
O3 0.2119 0.9336 0.6572  2 Si 1.67-1.68
O4 0.2656 0.8412 0.9896  1 Si 1.65
O5 0.2719 0.3198 0.4307  1 Si 1.61
O6 0.3984 0.5201 0.8441  1 Si 1.61
O7 0.4278 0.8136 0.3014  1 Si 1.63
O8 0.5722 0.1864 0.6986  1 Si 1.63
O9 0.6016 0.4799 0.1559  1 Si 1.61
O10 0.7281 0.6802 0.5693  1 Si 1.61
O11 0.7344 0.1588 0.0104  1 Si 1.65
O12 0.7881 0.0664 0.3428  2 Si 1.67-1.68
O13 0.8991 0.6787 0.8581  1 Si 1.64
O14 0.9234 0.6951 0.2669  1 Si 1.62